No. 1
# CuMo2W (SCAN, PBEsol geometry)
data_CuMo2W
_cell_length_a 2.708
_cell_length_b 2.708
_cell_length_c 28.089
_cell_angle_alpha 90.00
_cell_angle_beta 90.00
_cell_angle_gamma 120.00
_symmetry_space_group_name_H-M 'P 1'
_symmetry_Int_Tables_number 1
_symmetry_space_group_name_Hall 'P 1'
loop_
_atom_site_label
_atom_site_type_symbol
_atom_site_fract_x
_atom_site_fract_y
_atom_site_fract_z
Cu1 Cu 0.000 0.000 0.000
Cu2 Cu 0.333 0.667 0.667
Cu3 Cu 0.667 0.333 0.333
Mo1 Mo 0.000 0.000 0.254
Mo2 Mo 0.000 0.000 0.746
Mo3 Mo 0.333 0.667 0.413
Mo4 Mo 0.333 0.667 0.921
Mo5 Mo 0.667 0.333 0.079
Mo6 Mo 0.667 0.333 0.587
W1 W 0.000 0.000 0.500
W2 W 0.333 0.667 0.167
W3 W 0.667 0.333 0.833
# Calculated formation energy: 453.4 meV per atom
# SG: R-3m (166)



No. 2
# CuMo2W (SCAN, PBEsol geometry)
data_CuMo2W
_cell_length_a 3.853
_cell_length_b 3.853
_cell_length_c 3.876
_cell_angle_alpha 90.00
_cell_angle_beta 90.00
_cell_angle_gamma 90.00
_symmetry_space_group_name_H-M 'P 1'
_symmetry_Int_Tables_number 1
_symmetry_space_group_name_Hall 'P 1'
loop_
_atom_site_label
_atom_site_type_symbol
_atom_site_fract_x
_atom_site_fract_y
_atom_site_fract_z
Cu1 Cu 0.000 0.000 0.000
Mo1 Mo 0.000 0.500 0.500
Mo2 Mo 0.500 0.000 0.500
W1 W 0.500 0.500 0.000
# Calculated formation energy: 229.8 meV per atom
# SG: P4/mmm (123)



No. 3
# CuMo2W (SCAN, PBEsol geometry)
data_CuMo2W
_cell_length_a 3.242
_cell_length_b 4.252
_cell_length_c 8.495
_cell_angle_alpha 90.00
_cell_angle_beta 90.00
_cell_angle_gamma 90.00
_symmetry_space_group_name_H-M 'P 1'
_symmetry_Int_Tables_number 1
_symmetry_space_group_name_Hall 'P 1'
loop_
_atom_site_label
_atom_site_type_symbol
_atom_site_fract_x
_atom_site_fract_y
_atom_site_fract_z
Cu1 Cu 0.000 0.000 0.000
Cu2 Cu 0.500 0.500 0.500
Mo1 Mo 0.000 0.500 0.242
Mo2 Mo 0.000 0.500 0.758
Mo3 Mo 0.500 0.000 0.258
Mo4 Mo 0.500 0.000 0.742
W1 W 0.000 0.000 0.500
W2 W 0.500 0.500 0.000
# Calculated formation energy: 305.0 meV per atom
# SG: Immm (71)



No. 4
# CuMoW2 (SCAN, PBEsol geometry)
data_CuMoW2
_cell_length_a 2.594
_cell_length_b 4.179
_cell_length_c 5.472
_cell_angle_alpha 90.00
_cell_angle_beta 90.00
_cell_angle_gamma 90.00
_symmetry_space_group_name_H-M 'P 1'
_symmetry_Int_Tables_number 1
_symmetry_space_group_name_Hall 'P 1'
loop_
_atom_site_label
_atom_site_type_symbol
_atom_site_fract_x
_atom_site_fract_y
_atom_site_fract_z
Cu1 Cu 0.000 0.000 0.000
Mo1 Mo 0.000 0.000 0.500
W1 W 0.500 0.500 0.243
W2 W 0.500 0.500 0.757
# Calculated formation energy: 388.8 meV per atom
# SG: Pmmm (47)



No. 5
# YCu2Mo (SCAN, PBEsol geometry)
data_YCu2Mo
_cell_length_a 6.380
_cell_length_b 6.380
_cell_length_c 6.380
_cell_angle_alpha 90.00
_cell_angle_beta 90.00
_cell_angle_gamma 90.00
_symmetry_space_group_name_H-M 'P 1'
_symmetry_Int_Tables_number 1
_symmetry_space_group_name_Hall 'P 1'
loop_
_atom_site_label
_atom_site_type_symbol
_atom_site_fract_x
_atom_site_fract_y
_atom_site_fract_z
Y1 Y 0.000 0.000 0.000
Y2 Y 0.000 0.500 0.500
Y3 Y 0.500 0.000 0.500
Y4 Y 0.500 0.500 0.000
Cu1 Cu 0.250 0.250 0.250
Cu2 Cu 0.250 0.250 0.750
Cu3 Cu 0.250 0.750 0.250
Cu4 Cu 0.250 0.750 0.750
Cu5 Cu 0.750 0.250 0.250
Cu6 Cu 0.750 0.250 0.750
Cu7 Cu 0.750 0.750 0.250
Cu8 Cu 0.750 0.750 0.750
Mo1 Mo 0.000 0.000 0.500
Mo2 Mo 0.000 0.500 0.000
Mo3 Mo 0.500 0.000 0.000
Mo4 Mo 0.500 0.500 0.500
# Calculated formation energy: 317.7 meV per atom
# SG: Fm-3m (225)



No. 6
# YCuMo2 (SCAN, PBEsol geometry)
data_YCuMo2
_cell_length_a 6.435
_cell_length_b 6.435
_cell_length_c 6.435
_cell_angle_alpha 90.00
_cell_angle_beta 90.00
_cell_angle_gamma 90.00
_symmetry_space_group_name_H-M 'P 1'
_symmetry_Int_Tables_number 1
_symmetry_space_group_name_Hall 'P 1'
loop_
_atom_site_label
_atom_site_type_symbol
_atom_site_fract_x
_atom_site_fract_y
_atom_site_fract_z
Y1 Y 0.000 0.000 0.000
Y2 Y 0.000 0.500 0.500
Y3 Y 0.500 0.000 0.500
Y4 Y 0.500 0.500 0.000
Cu1 Cu 0.250 0.250 0.250
Cu2 Cu 0.250 0.750 0.750
Cu3 Cu 0.750 0.250 0.750
Cu4 Cu 0.750 0.750 0.250
Mo1 Mo 0.000 0.000 0.500
Mo2 Mo 0.000 0.500 0.000
Mo3 Mo 0.250 0.250 0.750
Mo4 Mo 0.250 0.750 0.250
Mo5 Mo 0.500 0.000 0.000
Mo6 Mo 0.500 0.500 0.500
Mo7 Mo 0.750 0.250 0.250
Mo8 Mo 0.750 0.750 0.750
# Calculated formation energy: 311.6 meV per atom
# SG: F-43m (216)



Which formula does entry 6 have?
YCuMo2



Repeat the second record exactly.
# CuMo2W (SCAN, PBEsol geometry)
data_CuMo2W
_cell_length_a 3.853
_cell_length_b 3.853
_cell_length_c 3.876
_cell_angle_alpha 90.00
_cell_angle_beta 90.00
_cell_angle_gamma 90.00
_symmetry_space_group_name_H-M 'P 1'
_symmetry_Int_Tables_number 1
_symmetry_space_group_name_Hall 'P 1'
loop_
_atom_site_label
_atom_site_type_symbol
_atom_site_fract_x
_atom_site_fract_y
_atom_site_fract_z
Cu1 Cu 0.000 0.000 0.000
Mo1 Mo 0.000 0.500 0.500
Mo2 Mo 0.500 0.000 0.500
W1 W 0.500 0.500 0.000
# Calculated formation energy: 229.8 meV per atom
# SG: P4/mmm (123)



What is the calculated formation energy in the second record?
229.8 meV per atom



Repeat the sixth record exactly.
# YCuMo2 (SCAN, PBEsol geometry)
data_YCuMo2
_cell_length_a 6.435
_cell_length_b 6.435
_cell_length_c 6.435
_cell_angle_alpha 90.00
_cell_angle_beta 90.00
_cell_angle_gamma 90.00
_symmetry_space_group_name_H-M 'P 1'
_symmetry_Int_Tables_number 1
_symmetry_space_group_name_Hall 'P 1'
loop_
_atom_site_label
_atom_site_type_symbol
_atom_site_fract_x
_atom_site_fract_y
_atom_site_fract_z
Y1 Y 0.000 0.000 0.000
Y2 Y 0.000 0.500 0.500
Y3 Y 0.500 0.000 0.500
Y4 Y 0.500 0.500 0.000
Cu1 Cu 0.250 0.250 0.250
Cu2 Cu 0.250 0.750 0.750
Cu3 Cu 0.750 0.250 0.750
Cu4 Cu 0.750 0.750 0.250
Mo1 Mo 0.000 0.000 0.500
Mo2 Mo 0.000 0.500 0.000
Mo3 Mo 0.250 0.250 0.750
Mo4 Mo 0.250 0.750 0.250
Mo5 Mo 0.500 0.000 0.000
Mo6 Mo 0.500 0.500 0.500
Mo7 Mo 0.750 0.250 0.250
Mo8 Mo 0.750 0.750 0.750
# Calculated formation energy: 311.6 meV per atom
# SG: F-43m (216)